1.
CaTlNi2 | PBE | optimized geometry

Properties
As for the crystal system: cubic. The formation energy is 49.2 meV per atom.

a b c (Å): 6.5646 6.5646 6.5646
angles (deg): 90.00 90.00 90.00
Space group Fm-3m (No. 225)
Symmetry-distinct sites (fractional):
Ca: 0.0000 0.0000 0.0000 [4 per cell]
Tl: 0.0000 0.0000 0.5000 [4 per cell]
Ni: 0.2500 0.2500 0.2500 [8 per cell]

2.
HfGaAg2S | PBE | optimized geometry

Properties
The energy relative to the elements, uncorrected comes out at 573 meV per atom. As for the crystal system: tetragonal.

a b c (Å): 4.7015 4.7015 5.2057
angles (deg): 90.00 90.00 90.00
Space group P4/mmm (No. 123)
Symmetry-distinct sites (fractional):
Hf: 0.0000 0.0000 0.0000 [1 per cell]
Ga: 0.0000 0.0000 0.5000 [1 per cell]
Ag: 0.0000 0.5000 0.5000 [2 per cell]
S: 0.5000 0.5000 0.0000 [1 per cell]

3.
AsPt2Rh | PBE | optimized geometry

Properties
As for the crystal system: orthorhombic. The formation energy is -76.5 meV per atom.

a b c (Å): 2.9941 4.3999 9.4716
angles (deg): 90.00 90.00 90.00
Space group Immm (No. 71)
Symmetry-distinct sites (fractional):
As: 0.0000 0.0000 0.0000 [2 per cell]
Pt: 0.0000 0.5000 0.2786 [4 per cell]
Rh: 0.0000 0.0000 0.5000 [2 per cell]

4.
AcZnClF4 | PBE | optimized geometry

Properties
The energy relative to the elements, uncorrected comes out at -3029 meV per atom. As for the crystal system: monoclinic.

a b c (Å): 11.0428 7.7864 7.4009
angles (deg): 90.00 106.25 90.00
Space group C2/m (No. 12)
Symmetry-distinct sites (fractional):
Ac: 0.2228 0.0000 0.1191 [4 per cell]
Zn: 0.1317 0.5000 0.2753 [4 per cell]
Cl: 0.0129 0.0000 0.7670 [4 per cell]
F: 0.0472 0.5000 0.8010 [4 per cell]
F: 0.2001 0.3205 0.1388 [8 per cell]
F: 0.2071 0.5000 0.5385 [4 per cell]

5.
La2ReRh | PBE | optimized geometry

Properties
As for the crystal system: tetragonal. The formation energy is 50.1 meV per atom.

a b c (Å): 3.6001 3.6001 7.0953
angles (deg): 90.00 90.00 90.00
Space group P4/mmm (No. 123)
Symmetry-distinct sites (fractional):
La: 0.0000 0.0000 0.2503 [2 per cell]
Re: 0.5000 0.5000 0.0000 [1 per cell]
Rh: 0.5000 0.5000 0.5000 [1 per cell]

6.
Pu4TlHg3 | PBE | optimized geometry

Properties
As for the crystal system: tetragonal. The formation energy is -64.9 meV per atom.

a b c (Å): 3.9827 3.9827 13.4706
angles (deg): 90.00 90.00 90.00
Space group P4/mmm (No. 123)
Symmetry-distinct sites (fractional):
Pu: 0.0000 0.0000 0.1227 [2 per cell]
Pu: 0.0000 0.0000 0.3703 [2 per cell]
Tl: 0.5000 0.5000 0.5000 [1 per cell]
Hg: 0.5000 0.5000 0.0000 [1 per cell]
Hg: 0.5000 0.5000 0.2471 [2 per cell]

7.
Ac2Sm3Ga2 | PBE | optimized geometry

Properties
As for the crystal system: monoclinic. The formation energy is -276.4 meV per atom.

a b c (Å): 12.5944 4.5214 8.6852
angles (deg): 90.00 112.96 90.00
Space group C2/m (No. 12)
Symmetry-distinct sites (fractional):
Ac: 0.1497 0.0000 0.3009 [4 per cell]
Sm: 0.0000 0.5000 0.5000 [2 per cell]
Sm: 0.1311 0.5000 0.9429 [4 per cell]
Ga: 0.1564 0.0000 0.7161 [4 per cell]

8.
NdGaPb | PBE | optimized geometry

Properties
As for the crystal system: tetragonal. The formation energy is -308.8 meV per atom.

a b c (Å): 3.7107 3.7107 11.6071
angles (deg): 90.00 90.00 90.00
Space group I4mm (No. 107)
Symmetry-distinct sites (fractional):
Nd: 0.0000 0.0000 0.0000 [2 per cell]
Ga: 0.0000 0.0000 0.6637 [2 per cell]
Pb: 0.0000 0.0000 0.2987 [2 per cell]

9.
TaBeI2 | PBE | optimized geometry

Properties
The energy relative to the elements, uncorrected comes out at 1134 meV per atom. As for the crystal system: tetragonal.

a b c (Å): 6.1593 6.1593 10.9066
angles (deg): 90.00 90.00 90.00
Space group I-42d (No. 122)
Symmetry-distinct sites (fractional):
Ta: 0.0000 0.0000 0.0000 [4 per cell]
Be: 0.0000 0.0000 0.5000 [4 per cell]
I: 0.2067 0.2500 0.6250 [8 per cell]

10.
CrH2IrPb | PBE | optimized geometry

Properties
Its total energy is -5.182 eV/atom. As for the crystal system: tetragonal.

a b c (Å): 3.7546 3.7546 4.9320
angles (deg): 90.00 90.00 90.00
Space group P4/mmm (No. 123)
Symmetry-distinct sites (fractional):
Cr: 0.0000 0.0000 0.0000 [1 per cell]
H: 0.0000 0.5000 0.5000 [2 per cell]
Ir: 0.0000 0.0000 0.5000 [1 per cell]
Pb: 0.5000 0.5000 0.0000 [1 per cell]

11.
Fe2CuMo | PBE | optimized geometry

Properties
As for the crystal system: tetragonal. The formation energy is 194.9 meV per atom.

a b c (Å): 2.5720 2.5720 7.8386
angles (deg): 90.00 90.00 90.00
Space group P4/mmm (No. 123)
Symmetry-distinct sites (fractional):
Fe: 0.0000 0.0000 0.2320 [2 per cell]
Cu: 0.5000 0.5000 0.0000 [1 per cell]
Mo: 0.5000 0.5000 0.5000 [1 per cell]

12.
La3Er2TmSb6 | PBE | optimized geometry

Properties
The energy relative to the elements, uncorrected comes out at -1175 meV per atom. As for the crystal system: monoclinic.

a b c (Å): 7.7880 13.4866 7.7468
angles (deg): 90.00 109.57 90.00
Space group C2/m (No. 12)
Symmetry-distinct sites (fractional):
La: 0.0000 0.0000 0.0000 [2 per cell]
La: 0.0000 0.3330 0.0000 [4 per cell]
Er: 0.0000 0.1665 0.5000 [4 per cell]
Tm: 0.0000 0.5000 0.5000 [2 per cell]
Sb: 0.2442 0.3336 0.7338 [8 per cell]
Sb: 0.2455 0.0000 0.7343 [4 per cell]

13.
BaScNi | PBE | optimized geometry

Properties
As for the crystal system: trigonal. The formation energy is 109.1 meV per atom.

a b c (Å): 4.0610 4.0610 6.3158
angles (deg): 90.00 90.00 120.00
Space group P3m1 (No. 156)
Symmetry-distinct sites (fractional):
Ba: 0.0000 0.0000 0.0000 [1 per cell]
Sc: 0.3333 0.6667 0.4891 [1 per cell]
Ni: 0.6667 0.3333 0.3328 [1 per cell]